Record 1
SrMnBe2 after structural relaxation, computed with PBE.

Structure (POSCAR):
```
SrMnBe2
1.0
6.348 0.000 0.000
0.000 6.348 0.000
0.000 0.000 6.348
Sr Mn Be
4 4 8
Direct
0.000 0.000 0.000
0.000 0.500 0.500
0.500 0.000 0.500
0.500 0.500 0.000
0.000 0.000 0.500
0.000 0.500 0.000
0.500 0.000 0.000
0.500 0.500 0.500
0.250 0.250 0.250
0.250 0.250 0.750
0.250 0.750 0.250
0.250 0.750 0.750
0.750 0.250 0.250
0.750 0.250 0.750
0.750 0.750 0.250
0.750 0.750 0.750
```

Properties
The formation energy comes out at 24.6 kcal/mol of atoms. For the density of states at the Fermi level, the calculation gives 1.953 states/eV per atom. The calculation puts the polymorph energy (0 for the lowest one) at 322 kJ/mol of formula units. The total energy is -3.51 eV per atom. For the volume, the calculation gives 15.99 Å³ per atom.

---

Record 2
SrMnAl2 after structural relaxation, computed with PBE.

Structure (POSCAR):
```
SrMnAl2
1.0
5.108 0.000 0.000
0.000 5.108 0.000
0.000 0.000 17.469
Sr Mn Al
4 4 8
Direct
0.000 0.250 0.375
0.000 0.750 0.625
0.500 0.250 0.125
0.500 0.750 0.875
0.000 0.250 0.875
0.000 0.750 0.125
0.500 0.250 0.625
0.500 0.750 0.375
0.000 0.000 0.000
0.000 0.500 0.000
0.250 0.250 0.750
0.250 0.750 0.250
0.500 0.000 0.500
0.500 0.500 0.500
0.750 0.250 0.750
0.750 0.750 0.250
```

Properties
The formation energy comes out at 6.6 kcal/mol of atoms. For the density of states at the Fermi level, the calculation gives 0.800 states/eV per atom. The total energy is -4.30 eV per atom. For the volume, the calculation gives 28.49 Å³ per atom.

---

Record 3
La2NiB12Os3 after structural relaxation, computed with PBE.

Structure (POSCAR):
```
La2NiB12Os3
1.0
3.462 1.999 5.595
-3.462 1.999 5.595
0.000 -3.998 5.595
La Ni B Os
2 1 12 3
Direct
0.136 0.136 0.136
0.864 0.864 0.864
0.500 0.500 0.500
0.142 0.142 0.715
0.142 0.715 0.142
0.172 0.606 0.606
0.285 0.858 0.858
0.394 0.394 0.828
0.394 0.828 0.394
0.606 0.172 0.606
0.606 0.606 0.172
0.715 0.142 0.142
0.828 0.394 0.394
0.858 0.285 0.858
0.858 0.858 0.285
0.000 0.500 0.500
0.500 0.000 0.500
0.500 0.500 0.000
```

Properties
The formation energy comes out at 14.8 kcal/mol of atoms. For the density of states at the Fermi level, the calculation gives 0.736 states/eV per atom. The total energy is -6.55 eV per atom. For the volume, the calculation gives 12.91 Å³ per atom.

---

Record 4
SrAlTeH2 after structural relaxation, computed with PBE.

Structure (POSCAR):
```
SrAlTeH2
1.0
4.288 0.000 0.000
0.000 4.288 0.000
0.000 0.000 8.617
Sr Al Te H
1 1 1 2
Direct
0.000 0.000 0.000
0.000 0.000 0.500
0.500 0.500 0.500
0.000 0.500 0.000
0.500 0.000 0.000
```

Properties
For the density of states at the Fermi level, the calculation gives 0.654 states/eV per atom. The total energy is -2.94 eV per atom. For the volume, the calculation gives 31.69 Å³ per atom.

---

Record 5
Th2Zn2Pd after structural relaxation, computed with PBE.

Structure (POSCAR):
```
Th2Zn2Pd
1.0
3.696 0.000 0.000
0.000 4.378 0.000
0.000 0.000 14.172
Th Zn Pd
4 4 2
Direct
0.000 0.000 0.000
0.000 0.000 0.246
0.000 0.500 0.500
0.000 0.500 0.746
0.500 0.000 0.626
0.500 0.000 0.820
0.500 0.500 0.126
0.500 0.500 0.320
0.500 0.000 0.428
0.500 0.500 0.928
```

Properties
The formation energy comes out at -9.6 kcal/mol of atoms. For the density of states at the Fermi level, the calculation gives 0.972 states/eV per atom. The total energy is -4.93 eV per atom. For the volume, the calculation gives 22.93 Å³ per atom.

---

Record 6
Pr4ErTm10 after structural relaxation, computed with PBE.

Structure (POSCAR):
```
Pr4ErTm10
1.0
-5.603 5.603 3.973
5.603 -5.603 3.973
5.603 5.603 -3.973
Pr Er Tm
4 1 10
Direct
0.226 0.226 0.453
0.226 0.774 0.000
0.774 0.226 0.000
0.774 0.774 0.547
0.000 0.000 0.000
0.087 0.295 0.792
0.250 0.750 0.500
0.295 0.087 0.792
0.295 0.503 0.208
0.497 0.705 0.792
0.503 0.295 0.208
0.705 0.497 0.792
0.705 0.913 0.208
0.750 0.250 0.500
0.913 0.705 0.208
```

Properties
The formation energy comes out at 6.4 kcal/mol of atoms. For the density of states at the Fermi level, the calculation gives 1.412 states/eV per atom. The total energy is -4.28 eV per atom. For the volume, the calculation gives 33.26 Å³ per atom.

---

Record 7
Na2CrRh after structural relaxation, computed with PBE.

Structure (POSCAR):
```
Na2CrRh
1.0
8.268 0.000 0.000
0.000 8.268 0.000
0.000 0.000 5.001
Na Cr Rh
8 4 4
Direct
0.217 0.750 0.125
0.250 0.217 0.875
0.250 0.283 0.375
0.283 0.750 0.625
0.717 0.250 0.625
0.750 0.717 0.375
0.750 0.783 0.875
0.783 0.250 0.125
0.000 0.000 0.500
0.000 0.500 0.750
0.500 0.000 0.250
0.500 0.500 0.000
0.000 0.000 0.000
0.000 0.500 0.250
0.500 0.000 0.750
0.500 0.500 0.500
```

Properties
The formation energy comes out at 18.8 kcal/mol of atoms. For the density of states at the Fermi level, the calculation gives 0.765 states/eV per atom. The calculation puts the polymorph energy (0 for the lowest one) at 4 kJ/mol of formula units. The total energy is -4.09 eV per atom. For the volume, the calculation gives 21.37 Å³ per atom.

---

Record 8
RuPt2Cl after structural relaxation, computed with PBE.

Structure (POSCAR):
```
RuPt2Cl
1.0
2.771 0.000 0.000
0.000 4.608 0.000
0.000 0.000 4.989
Ru Pt Cl
1 2 1
Direct
0.000 0.000 0.000
0.000 0.500 0.500
0.500 0.000 0.500
0.500 0.500 0.000
```

Properties
For the density of states at the Fermi level, the calculation gives 1.650 states/eV per atom. The calculation puts the polymorph energy (0 for the lowest one) at 159 kJ/mol of formula units. The calculation puts the uncorrected formation energy at 2.59 eV per formula unit. The total energy is -5.15 eV per atom. For the volume, the calculation gives 15.93 Å³ per atom.

---

Record 9
YMgMo2 after structural relaxation, computed with PBE.

Structure (POSCAR):
```
YMgMo2
1.0
3.295 0.000 0.000
0.000 3.295 0.000
0.000 0.000 7.546
Y Mg Mo
1 1 2
Direct
0.000 0.000 0.000
0.500 0.500 0.328
0.000 0.000 0.563
0.500 0.500 0.733
```

Properties
The formation energy comes out at 3.1 kcal/mol of atoms. For the density of states at the Fermi level, the calculation gives 0.805 states/eV per atom. The total energy is -7.29 eV per atom. For the volume, the calculation gives 20.48 Å³ per atom.

---

Record 10
KNbSn3 after structural relaxation, computed with PBE.

Structure (POSCAR):
```
KNbSn3
1.0
5.517 0.000 0.000
0.000 5.517 0.000
0.000 0.000 5.517
K Nb Sn
1 1 3
Direct
0.000 0.000 0.000
0.500 0.500 0.500
0.000 0.000 0.500
0.000 0.500 0.000
0.500 0.000 0.000
```

Properties
The formation energy comes out at 43.2 kcal/mol of atoms. For the density of states at the Fermi level, the calculation gives 2.043 states/eV per atom. The calculation puts the polymorph energy (0 for the lowest one) at 912 kJ/mol of formula units. The total energy is -2.76 eV per atom. For the volume, the calculation gives 33.59 Å³ per atom.

---

Record 11
Pm6InSe5 after structural relaxation, computed with PBE.

Structure (POSCAR):
```
Pm6InSe5
1.0
3.690 -6.370 0.000
3.690 6.370 0.000
-2.435 0.000 6.941
Pm In Se
6 1 5
Direct
0.077 0.416 0.746
0.244 0.244 0.251
0.416 0.077 0.746
0.584 0.923 0.254
0.756 0.756 0.749
0.923 0.584 0.254
0.500 0.500 0.000
0.000 0.000 0.500
0.167 0.833 0.000
0.336 0.664 0.500
0.664 0.336 0.500
0.833 0.167 0.000
```

Properties
For the density of states at the Fermi level, the calculation gives 0.514 states/eV per atom. The calculation puts the uncorrected formation energy at -19.15 eV per formula unit. The total energy is -5.65 eV per atom. For the volume, the calculation gives 27.19 Å³ per atom.

---

Record 12
BaCu3Se after structural relaxation, computed with PBE.

Structure (POSCAR):
```
BaCu3Se
1.0
5.423 0.000 0.000
0.000 5.423 0.000
0.000 0.000 5.423
Ba Cu Se
1 3 1
Direct
0.000 0.000 0.000
0.000 0.000 0.500
0.000 0.500 0.000
0.500 0.000 0.000
0.500 0.500 0.500
```

Properties
For the density of states at the Fermi level, the calculation gives 0.710 states/eV per atom. The calculation puts the polymorph energy (0 for the lowest one) at 624 kJ/mol of formula units. The calculation puts the uncorrected formation energy at 7.26 eV per formula unit. The total energy is -2.09 eV per atom. For the volume, the calculation gives 31.89 Å³ per atom.

---

Q: What is the total energy in the tenth record?
A: -2.76 eV per atom